(1)
This record from Alexandria describes BeRu3 after structural relaxation. The functional is PBE-GGA.

## Properties
- Energy of formation: 213 meV per atom
- VASP energy: -7.68 eV per atom
- Space-group type: Pm-3m (221)
- Magnetic moment: 0.00 μB/atom

Cell and atoms, written as POSCAR:
```
BeRu3
1.0
3.730 0.000 0.000
0.000 3.730 0.000
0.000 0.000 3.730
Ru Be
3 1
Direct
0.500 0.500 0.000
0.500 0.000 0.500
0.000 0.500 0.500
0.000 0.000 0.000
```

(2)
This record from Alexandria describes BeRu3 after structural relaxation. The functional is PBE-GGA.

## Properties
- Energy of formation: 144 meV per atom
- VASP energy: -7.74 eV per atom
- Space-group type: P6_3/mmc (194)
- Magnetic moment: 0.00 μB/atom

Cell and atoms, written as POSCAR:
```
BeRu3
1.0
5.291 0.000 0.000
-2.645 4.582 0.000
0.000 0.000 8.527
Ru Be
12 4
Direct
0.160 0.319 0.750
0.000 0.500 0.000
0.319 0.160 0.250
0.160 0.840 0.750
0.840 0.160 0.250
0.500 0.000 0.500
0.840 0.681 0.250
0.500 0.000 0.000
0.681 0.840 0.750
0.500 0.500 0.500
0.000 0.500 0.500
0.500 0.500 0.000
0.333 0.667 0.250
0.000 0.000 0.000
0.000 0.000 0.500
0.667 0.333 0.750
```

(3)
This record from Alexandria describes Be7Ru after structural relaxation. The functional is PBE-GGA.

## Properties
- Energy of formation: -61 meV per atom
- VASP energy: -4.48 eV per atom
- Space-group type: Fm-3m (225)
- Magnetic moment: 0.00 μB/atom

Cell and atoms, written as POSCAR:
```
Be7Ru
1.0
0.000 3.316 3.316
3.316 0.000 3.316
3.316 3.316 0.000
Be Ru
7 1
Direct
0.000 0.500 0.000
0.000 0.000 0.500
0.500 0.000 0.000
0.000 0.500 0.500
0.500 0.500 0.500
0.500 0.000 0.500
0.500 0.500 0.000
0.000 0.000 0.000
```

(4)
This record from Alexandria describes Be4Ru after structural relaxation. The functional is PBE-GGA.

## Properties
- Energy of formation: -290 meV per atom
- VASP energy: -5.13 eV per atom
- Space-group type: Cmcm (63)
- Magnetic moment: 0.00 μB/atom

Cell and atoms, written as POSCAR:
```
Be4Ru
1.0
3.484 0.000 -1.004
0.000 4.606 0.000
-0.221 0.000 5.784
Be Ru
8 2
Direct
0.203 0.503 0.405
0.000 0.500 0.000
0.617 0.250 0.234
0.797 0.497 0.595
0.383 0.750 0.766
0.203 0.997 0.405
0.000 0.000 0.000
0.797 0.003 0.595
0.597 0.750 0.195
0.403 0.250 0.805
```

(5)
This record from Alexandria describes BeRu3 after structural relaxation. The functional is PBE-GGA.

## Properties
- Energy of formation: 236 meV per atom
- VASP energy: -7.65 eV per atom
- Space-group type: P4/mmm (123)
- Magnetic moment: 0.10 μB/atom

Cell and atoms, written as POSCAR:
```
BeRu3
1.0
4.291 0.000 0.000
0.000 4.291 0.000
0.000 0.000 2.838
Be Ru
1 3
Direct
0.000 0.000 0.000
0.000 0.500 0.500
0.500 0.500 0.000
0.500 0.000 0.500
```

(6)
This record from Alexandria describes BeRu7 after structural relaxation. The functional is PBE-GGA.

## Properties
- Energy of formation: 184 meV per atom
- VASP energy: -8.40 eV per atom
- Space-group type: Fm-3m (225)
- Magnetic moment: 0.00 μB/atom

Cell and atoms, written as POSCAR:
```
BeRu7
1.0
0.000 3.787 3.787
3.787 0.000 3.787
3.787 3.787 0.000
Ru Be
7 1
Direct
0.000 0.500 0.000
0.500 0.000 0.000
0.500 0.000 0.500
0.000 0.500 0.500
0.500 0.500 0.500
0.500 0.500 0.000
0.000 0.000 0.500
0.000 0.000 0.000
```

(7)
This record from Alexandria describes BeRu3 after structural relaxation. The functional is PBE-GGA.

## Properties
- Energy of formation: 82 meV per atom
- VASP energy: -7.81 eV per atom
- Space-group type: P6_3/mmc (194)
- Magnetic moment: 0.00 μB/atom

Cell and atoms, written as POSCAR:
```
BeRu3
1.0
2.656 -4.601 0.000
2.656 4.601 0.000
0.000 0.000 4.209
Be Ru
2 6
Direct
0.667 0.333 0.750
0.333 0.667 0.250
0.827 0.173 0.250
0.347 0.173 0.250
0.173 0.347 0.750
0.653 0.827 0.750
0.173 0.827 0.750
0.827 0.653 0.250
```

(8)
This record from Alexandria describes Be4Ru5 after structural relaxation. The functional is PBE-GGA.

## Properties
- Energy of formation: 137 meV per atom
- VASP energy: -6.67 eV per atom
- Space-group type: I4/mmm (139)
- Magnetic moment: 0.00 μB/atom

Cell and atoms, written as POSCAR:
```
Be4Ru5
1.0
2.252 -5.074 -0.962
1.598 5.092 1.804
-3.005 -1.430 4.545
Ru Be
5 4
Direct
0.674 0.326 0.000
0.000 0.000 0.000
0.326 0.326 0.652
0.326 0.674 0.000
0.674 0.674 0.348
0.000 0.681 0.681
0.000 0.319 0.319
0.681 0.000 0.681
0.319 0.000 0.319
```

(9)
This record from Alexandria describes Be4Ru3 after structural relaxation. The functional is PBE-GGA.

## Properties
- Energy of formation: 386 meV per atom
- VASP energy: -5.72 eV per atom
- Space-group type: P6/mmm (191)
- Magnetic moment: 0.21 μB/atom

Cell and atoms, written as POSCAR:
```
Be4Ru3
1.0
2.486 -4.307 0.000
2.486 4.307 0.000
0.000 0.000 4.076
Ru Be
3 4
Direct
0.500 0.000 0.000
0.000 0.500 0.000
0.500 0.500 0.000
0.000 0.000 0.760
0.667 0.333 0.500
0.333 0.667 0.500
0.000 0.000 0.240
```

(10)
This record from Alexandria describes BeRu3 after structural relaxation. The functional is PBE-GGA.

## Properties
- Energy of formation: 92 meV per atom
- VASP energy: -7.80 eV per atom
- Space-group type: R-3m (166)
- Magnetic moment: 0.00 μB/atom

Cell and atoms, written as POSCAR:
```
BeRu3
1.0
8.326 0.008 0.005
7.887 2.669 0.005
7.887 1.302 2.329
Ru Be
3 1
Direct
0.744 0.744 0.744
0.500 0.500 0.500
0.256 0.256 0.256
0.000 0.000 0.000
```

(11)
This record from Alexandria describes BeRuS3 after structural relaxation. The functional is PBE-GGA.

## Properties
- VASP energy: -4.43 eV per atom
- Raw formation energy: 3.246 eV/f.u.
- Space-group type: Pm-3m (221)
- Magnetic moment: 0.00 μB/atom

Cell and atoms, written as POSCAR:
```
BeRuS3
1.0
4.178 0.000 0.000
0.000 4.178 0.000
0.000 0.000 4.178
S Ru Be
3 1 1
Direct
0.500 0.000 0.000
0.000 0.500 0.000
0.000 0.000 0.500
0.500 0.500 0.500
0.000 0.000 0.000
```

(12)
This record from Alexandria describes Be2RuS2 after structural relaxation. The functional is PBE-GGA.

## Properties
- VASP energy: -4.63 eV per atom
- Raw formation energy: 1.809 eV/f.u.
- Space-group type: I4/mmm (139)
- Magnetic moment: 0.00 μB/atom

Cell and atoms, written as POSCAR:
```
Be2RuS2
1.0
-0.127 4.220 -0.765
-1.872 -0.744 -3.788
-4.117 1.917 -0.772
Ru S Be
1 2 2
Direct
0.000 0.000 0.000
0.250 0.750 0.500
0.750 0.250 0.500
0.339 0.339 0.322
0.661 0.661 0.678
```

(13)
This record from Alexandria describes Be2RuS after structural relaxation. The functional is PBE-GGA.

## Properties
- VASP energy: -5.06 eV per atom
- Raw formation energy: 0.625 eV/f.u.
- Space-group type: I-42d (122)
- Magnetic moment: 0.00 μB/atom

Cell and atoms, written as POSCAR:
```
Be2RuS
1.0
6.150 0.000 0.000
0.000 6.150 0.000
3.075 3.075 2.465
Be S Ru
4 2 2
Direct
0.581 0.125 0.250
0.875 0.831 0.750
0.169 0.625 0.250
0.375 0.419 0.750
0.250 0.750 0.500
0.500 0.500 0.000
0.750 0.250 0.500
0.000 0.000 0.000
```

(14)
This record from Alexandria describes BeRuS3 after structural relaxation. The functional is PBE-GGA.

## Properties
- VASP energy: -4.25 eV per atom
- Raw formation energy: 4.152 eV/f.u.
- Space-group type: Pm-3m (221)
- Magnetic moment: 0.00 μB/atom

Cell and atoms, written as POSCAR:
```
BeRuS3
1.0
4.596 0.000 0.000
0.000 4.596 0.000
0.000 0.000 4.596
Be S Ru
1 3 1
Direct
0.500 0.500 0.500
0.000 0.000 0.500
0.000 0.500 0.000
0.500 0.000 0.000
0.000 0.000 0.000
```

(15)
This record from Alexandria describes BeRu2S4 after structural relaxation. The functional is PBE-GGA.

## Properties
- VASP energy: -5.23 eV per atom
- Raw formation energy: 2.197 eV/f.u.
- Space-group type: I4/mmm (139)
- Magnetic moment: 0.00 μB/atom

Cell and atoms, written as POSCAR:
```
BeRu2S4
1.0
-0.006 -0.471 -4.242
1.681 -3.900 0.430
-4.675 -4.533 -1.638
S Be Ru
4 1 2
Direct
0.500 0.000 0.000
0.801 0.801 0.398
0.000 0.500 0.000
0.199 0.199 0.602
0.000 0.000 0.000
0.382 0.382 0.236
0.618 0.618 0.764
```

(16)
This record from Alexandria describes BeRu3S after structural relaxation. The functional is PBE-GGA.

## Properties
- VASP energy: -6.51 eV per atom
- Raw formation energy: 3.154 eV/f.u.
- Space-group type: Pm-3m (221)
- Magnetic moment: 0.00 μB/atom

Cell and atoms, written as POSCAR:
```
BeRu3S
1.0
-3.805 1.946 -0.163
-1.921 -3.664 1.085
0.354 1.038 4.134
Be S Ru
1 1 3
Direct
0.500 0.500 0.500
0.000 0.000 0.000
0.000 0.500 0.000
0.000 0.000 0.500
0.500 0.000 0.000
```

(17)
This record from Alexandria describes Be2RuSeS after structural relaxation. The functional is PBE-GGA.

## Properties
- VASP energy: -4.29 eV per atom
- Raw formation energy: 2.913 eV/f.u.
- Space-group type: P4/mmm (123)
- Magnetic moment: 0.00 μB/atom

Cell and atoms, written as POSCAR:
```
Be2RuSeS
1.0
-2.978 2.654 2.132
-2.469 -3.358 0.732
2.151 -0.728 3.912
S Be Se Ru
1 2 1 1
Direct
0.000 0.500 0.000
0.000 0.000 0.500
0.500 0.000 0.000
0.500 0.500 0.500
0.000 0.000 0.000
```

(18)
This record from Alexandria describes SrBe2RuS after structural relaxation. The functional is PBE-GGA.

## Properties
- VASP energy: -3.78 eV per atom
- Raw formation energy: 3.652 eV/f.u.
- Space-group type: P4/mmm (123)
- Magnetic moment: 0.14 μB/atom

Cell and atoms, written as POSCAR:
```
SrBe2RuS
1.0
4.151 0.000 0.000
0.000 5.386 0.000
0.000 0.000 4.151
Sr S Ru Be
1 1 1 2
Direct
0.000 0.500 0.000
0.000 0.000 0.000
0.500 0.500 0.500
0.500 0.000 0.000
0.000 0.000 0.500
```

(19)
This record from Alexandria describes TiBeRu2S after structural relaxation. The functional is PBE-GGA.

## Properties
- VASP energy: -6.56 eV per atom
- Raw formation energy: 1.492 eV/f.u.
- Space-group type: P4/mmm (123)
- Magnetic moment: 0.00 μB/atom

Cell and atoms, written as POSCAR:
```
TiBeRu2S
1.0
4.298 0.000 0.000
0.000 4.352 0.000
0.000 0.000 4.298
Be S Ru Ti
1 1 2 1
Direct
0.500 0.500 0.500
0.000 0.000 0.000
0.000 0.000 0.500
0.500 0.000 0.000
0.000 0.500 0.000
```

(20)
This record from Alexandria describes Be2TlRuS after structural relaxation. The functional is PBE-GGA.

## Properties
- VASP energy: -2.98 eV per atom
- Raw formation energy: 8.314 eV/f.u.
- Space-group type: P4/mmm (123)
- Magnetic moment: 0.60 μB/atom

Cell and atoms, written as POSCAR:
```
Be2TlRuS
1.0
-1.640 2.938 2.756
-5.297 -0.807 -2.292
-0.774 -3.150 2.897
Tl Ru Be S
1 1 2 1
Direct
0.000 0.000 0.000
0.500 0.500 0.500
0.500 0.000 0.000
0.000 0.000 0.500
0.000 0.500 0.000
```